[1]
Density functional theory data (GGA-PBE) for a geometry-optimized CaSi3Ni3 structure.

Properties
Magnetization   0.000 μB/f.u.
Energy relative to the lowest polymorph listed for this composition   0 meV per atom
Energy relative to the elements, uncorrected   -0.3411 eV/atom
Energy   -0.19951 hartree per atom

Cell: 6.0732 6.0732 7.8189 Å, 67.15 67.15 60.00°
Sites, in units of the cell vectors:
Ni 0.9239 0.4379 0.3883
Ni 0.4379 0.2499 0.3883
Ni 0.5621 0.7501 0.6117
Ni 0.2499 0.9239 0.3883
Si 0.6827 0.8757 0.2784
Ca 0.3313 0.3313 0.0061
Si 0.8368 0.3173 0.7216
Ni 0.7501 0.0761 0.6117
Si 0.8757 0.1632 0.2784
Si 0.1243 0.8368 0.7216
Si 0.1632 0.6827 0.2784
Si 0.3173 0.1243 0.7216
Ca 0.6687 0.6687 0.9939
Ni 0.0761 0.5621 0.6117



[2]
Density functional theory data (GGA-PBE) for a geometry-optimized YTe2Ru structure.

Properties
Magnetization   0.000 μB/f.u.
Energy relative to the lowest polymorph listed for this composition   68 meV per atom
Energy relative to the elements, uncorrected   -0.4472 eV/atom
Energy   -0.21877 hartree per atom

Cell: 5.7409 5.7409 5.0889 Å, 74.53 74.53 39.07°
Sites, in units of the cell vectors:
Te 0.9770 0.9770 0.0600
Ru 0.3017 0.3017 0.2323
Te 0.7444 0.7444 0.6383
Y 0.4769 0.4769 0.5694



[3]
Density functional theory data (GGA-PBE) for a geometry-optimized Pr3Dy6Sc structure.

Properties
Magnetization   0.000 μB/f.u.
Energy relative to the lowest polymorph listed for this composition   0 meV per atom
Energy   -0.17199 hartree per atom

Cell: 6.2942 10.9388 10.9388 Å, 119.79 90.00 90.00°
Sites, in units of the cell vectors:
Pr 0.9581 0.0555 0.2827
Dy 0.0491 0.7116 0.6203
Dy 0.8712 0.4630 0.0428
Sc 0.6264 0.7989 0.2011
Dy 0.3712 0.5370 0.9572
Pr 0.0688 0.3863 0.6137
Sc 0.1264 0.2011 0.7989
Dy 0.3992 0.9552 0.0448
Dy 0.5491 0.6203 0.7116
Pr 0.4581 0.2827 0.0555
Pr 0.4581 0.9445 0.7173
Dy 0.1341 0.7239 0.2761
Pr 0.9581 0.7173 0.9445
Dy 0.6341 0.2761 0.7239
Dy 0.0491 0.3797 0.2884
Dy 0.8992 0.0448 0.9552
Dy 0.5491 0.2884 0.3797
Dy 0.8712 0.9572 0.5370
Pr 0.5688 0.6137 0.3863
Dy 0.3712 0.0428 0.4630